Record 1
DFT (PBE) results for a geometry-optimized PrSbNO structure.

abc: 4.0046 6.4784 6.4757
angles: 90.00 90.00 90.00
Atoms (fractional coordinates):
Pr (0.0000, 0.2020, 0.0000)
Pr (0.0000, 0.7980, 0.5000)
Sb (0.5000, 0.3259, 0.5825)
Sb (0.5000, 0.6741, 0.0825)
N (0.5000, 0.4040, 0.9099)
N (0.5000, 0.5960, 0.4099)
O (0.0000, 0.0839, 0.3168)
O (0.0000, 0.9161, 0.8168)

Values from the calculation:
**Uncorrected energy**: -6.636 eV/atom
**Total magnetization**: 0.00 μB per formula unit
**Density**: 5.8 g cm⁻³

=====

Record 2
DFT (PBE) results for a geometry-optimized PrSbNO structure.

abc: 5.0355 5.0355 5.2138
angles: 90.00 90.00 90.00
Atoms (fractional coordinates):
Pr (0.2500, 0.7500, 0.0000)
Pr (0.7500, 0.2500, 0.0000)
Sb (0.2500, 0.2500, 0.4975)
Sb (0.7500, 0.7500, 0.5025)
N (0.2500, 0.2500, 0.1070)
N (0.7500, 0.7500, 0.8930)
O (0.2500, 0.7500, 0.5000)
O (0.7500, 0.2500, 0.5000)

Values from the calculation:
**Uncorrected energy**: -6.554 eV/atom
**Total magnetization**: 0.01 μB per formula unit
**Density**: 7.4 g cm⁻³

=====

Record 3
DFT (PBE) results for a geometry-optimized PrScNO structure.

abc: 6.5630 8.1008 4.8646
angles: 90.00 90.00 90.00
Atoms (fractional coordinates):
Pr (0.0586, 0.1350, 0.0000)
Pr (0.4414, 0.1350, 0.5000)
Pr (0.5586, 0.8650, 0.0000)
Pr (0.9414, 0.8650, 0.5000)
Sc (0.0886, 0.6100, 0.0014)
Sc (0.4114, 0.6100, 0.5014)
Sc (0.5886, 0.3900, 0.0014)
Sc (0.9114, 0.3900, 0.5014)
N (0.0912, 0.6024, 0.4990)
N (0.4088, 0.6024, 0.9990)
N (0.5912, 0.3976, 0.4990)
N (0.9088, 0.3976, 0.9990)
O (0.0768, 0.1633, 0.5001)
O (0.4232, 0.1633, 0.0001)
O (0.5768, 0.8367, 0.5001)
O (0.9232, 0.8367, 0.0001)

Values from the calculation:
**Uncorrected energy**: -8.230 eV/atom
**Total magnetization**: 0.01 μB per formula unit
**Density**: 5.5 g cm⁻³

=====

Record 4
DFT (PBE) results for a geometry-optimized PrScNO structure.

abc: 3.7626 6.7822 5.3317
angles: 90.00 90.00 90.00
Atoms (fractional coordinates):
Pr (0.0000, 0.1594, 0.0000)
Pr (0.0000, 0.8406, 0.5000)
Sc (0.5000, 0.3298, 0.5255)
Sc (0.5000, 0.6702, 0.0255)
N (0.0000, 0.1901, 0.4888)
N (0.0000, 0.8099, 0.9888)
O (0.5000, 0.3842, 0.9053)
O (0.5000, 0.6158, 0.4053)

Values from the calculation:
**Uncorrected energy**: -8.188 eV/atom
**Total magnetization**: 0.01 μB per formula unit
**Density**: 5.3 g cm⁻³

=====

Record 5
DFT (PBE) results for a geometry-optimized PrScNO structure.

abc: 4.0122 4.0122 8.4335
angles: 90.00 90.00 90.00
Atoms (fractional coordinates):
Pr (0.2500, 0.2500, 0.1399)
Pr (0.7500, 0.7500, 0.8601)
Sc (0.2500, 0.7500, 0.5000)
Sc (0.7500, 0.2500, 0.5000)
N (0.2500, 0.2500, 0.6120)
N (0.7500, 0.7500, 0.3880)
O (0.2500, 0.7500, 0.0000)
O (0.7500, 0.2500, 0.0000)

Values from the calculation:
**Uncorrected energy**: -7.953 eV/atom
**Total magnetization**: 0.33 μB per formula unit
**Density**: 5.3 g cm⁻³

=====

Record 6
DFT (PBE) results for a geometry-optimized PrScNO structure.

abc: 3.9119 6.8989 4.8254
angles: 90.00 90.00 90.00
Atoms (fractional coordinates):
Pr (0.0000, 0.1661, 0.0000)
Pr (0.0000, 0.8339, 0.5000)
Sc (0.5000, 0.3456, 0.5002)
Sc (0.5000, 0.6544, 0.0002)
N (0.5000, 0.3571, 0.9991)
N (0.5000, 0.6429, 0.4991)
O (0.0000, 0.2180, 0.5002)
O (0.0000, 0.7820, 0.0002)

Values from the calculation:
**Uncorrected energy**: -8.219 eV/atom
**Total magnetization**: 0.00 μB per formula unit
**Density**: 5.5 g cm⁻³

=====

Record 7
DFT (PBE) results for a geometry-optimized PrScNO structure.

abc: 4.6962 4.6962 5.5185
angles: 90.00 90.00 90.00
Atoms (fractional coordinates):
Pr (0.2500, 0.7500, 0.0000)
Pr (0.7500, 0.2500, 0.0000)
Sc (0.2500, 0.2500, 0.4711)
Sc (0.7500, 0.7500, 0.5289)
N (0.2500, 0.2500, 0.1202)
N (0.7500, 0.7500, 0.8798)
O (0.2500, 0.7500, 0.5000)
O (0.7500, 0.2500, 0.5000)

Values from the calculation:
**Uncorrected energy**: -8.089 eV/atom
**Total magnetization**: 0.00 μB per formula unit
**Density**: 5.9 g cm⁻³

=====

Record 8
DFT (PBE) results for a geometry-optimized PrScNO structure.

abc: 6.3623 7.9382 5.3023
angles: 90.00 90.00 90.00
Atoms (fractional coordinates):
Pr (0.0620, 0.1351, 0.0000)
Pr (0.4380, 0.1351, 0.5000)
Pr (0.5620, 0.8649, 0.0000)
Pr (0.9380, 0.8649, 0.5000)
Sc (0.0814, 0.6191, 0.9779)
Sc (0.4186, 0.6191, 0.4779)
Sc (0.5814, 0.3809, 0.9779)
Sc (0.9186, 0.3809, 0.4779)
N (0.0612, 0.1543, 0.4910)
N (0.4388, 0.1543, 0.9910)
N (0.5612, 0.8457, 0.4910)
N (0.9388, 0.8457, 0.9910)
O (0.1061, 0.5813, 0.5875)
O (0.3939, 0.5813, 0.0875)
O (0.6061, 0.4187, 0.5875)
O (0.8939, 0.4187, 0.0875)

Values from the calculation:
**Uncorrected energy**: -8.162 eV/atom
**Total magnetization**: 0.01 μB per formula unit
**Density**: 5.4 g cm⁻³